No. 1
Material: La4Tb4Pr3
Method: DFT, PBE-GGA
State: optimized geometry

The structure in CIF format:
```
data_La4Tb4Pr3
_space_group_name_H-M_alt 'A m m 2'
_space_group_IT_number 38
_space_group_name_Hall 'A 2 -2'
_cell_length_a 10.929
_cell_length_b 5.855
_cell_length_c 12.159
_cell_angle_alpha 90.00
_cell_angle_beta 90.00
_cell_angle_gamma 90.00
loop_
_atom_site_label
_atom_site_type_symbol
_atom_site_fract_x
_atom_site_fract_y
_atom_site_fract_z
La1 La 0.000 0.000 0.000
La2 La 0.209 0.000 0.801
La3 La 0.500 0.000 0.921
Tb1 Tb 0.000 0.000 0.596
Tb2 Tb 0.307 0.000 0.149
Tb3 Tb 0.500 0.000 0.647
Pr1 Pr 0.000 0.000 0.293
Pr2 Pr 0.292 0.000 0.453
```

Summary:
Distance to the lowest polymorph of the same formula in meV/atom: 19
V in Å³ per atom: 35.36
E_form in eV per atom: 0.14


No. 2
Material: LaTb6Pr2
Method: DFT, PBE-GGA
State: optimized geometry

The structure in CIF format:
```
data_LaTb6Pr2
_space_group_name_H-M_alt 'C 1 2/c 1'
_space_group_IT_number 15
_space_group_name_Hall '-C 2yc'
_cell_length_a 13.022
_cell_length_b 14.333
_cell_length_c 6.698
_cell_angle_alpha 90.00
_cell_angle_beta 102.65
_cell_angle_gamma 90.00
loop_
_atom_site_label
_atom_site_type_symbol
_atom_site_fract_x
_atom_site_fract_y
_atom_site_fract_z
La1 La 0.000 0.121 0.250
Tb1 Tb 0.032 0.311 0.000
Tb2 Tb 0.134 0.087 0.820
Tb3 Tb 0.241 0.297 0.735
Pr1 Pr 0.142 0.472 0.373
```

Summary:
Distance to the lowest polymorph of the same formula in meV/atom: 7
V in Å³ per atom: 33.88
E_form in eV per atom: 0.11